Compound: AlAgOs2
Source: Alexandria via LeMat-Bulk
Functional: PBE
Structure: relaxed

Structure (CIF):
```
data_AlAgOs2
_chemical_formula_sum 'Al4 Ag4 Os8'
_symmetry_space_group_name_H-M 'I -4 2 d'
_symmetry_Int_Tables_number 122
_symmetry_space_group_name_Hall 'I -4 2bw'
_cell_length_a 7.262
_cell_length_b 7.262
_cell_length_c 5.029
_cell_angle_alpha 90.00
_cell_angle_beta 90.00
_cell_angle_gamma 90.00
loop_
_atom_site_label
_atom_site_fract_x
_atom_site_fract_y
_atom_site_fract_z
_atom_site_occupancy
Al1 0.000 0.000 0.000 1
Ag1 0.000 0.000 0.500 1
Os1 0.221 0.250 0.125 1
```

Final energy, eV per atom: -6.411
M_tot, μB per formula unit: 0.36

***

Compound: ScCo2Ir
Source: Alexandria via LeMat-Bulk
Functional: PBE
Structure: relaxed

Structure (CIF):
```
data_ScCo2Ir
_chemical_formula_sum 'Sc2 Co4 Ir2'
_symmetry_space_group_name_H-M 'C 1 2/m 1'
_symmetry_Int_Tables_number 12
_cell_length_a 9.005
_cell_length_b 2.887
_cell_length_c 4.539
_cell_angle_alpha 90.00
_cell_angle_beta 103.69
_cell_angle_gamma 90.00
loop_
_symmetry_equiv_pos_as_xyz
'x,y,z'
'-x,-y,-z'
'-x,y,-z'
'x,-y,z'
'x+1/2,y+1/2,z'
'-x+1/2,-y+1/2,-z'
'-x+1/2,y+1/2,-z'
'x+1/2,-y+1/2,z'
loop_
_atom_site_label
_atom_site_fract_x
_atom_site_fract_y
_atom_site_fract_z
_atom_site_occupancy
Sc1 0.000 0.000 0.000 1
Co1 0.239 0.000 0.710 1
Ir1 0.000 0.500 0.500 1
```

Final energy, eV per atom: -7.499
M_tot, μB per formula unit: 2.75

***

| no. | formation energy (eV/atom) |
| --- | --- |
| 1 | 0.85 |
| 2 | -0.15 |